Tc3MoP PBE relaxed; total magnetic moment = 1.5 μB per formula unit; distance to the lowest polymorph of the same formula = 7.109 eV/f.u.; Fermi-level density of states = 1.57 states/eV/atom; symmetry = Pm-3m; VASP energy = -37.54 eV/f.u.
1.0
4.662 0.000 0.000
0.000 4.662 0.000
0.000 0.000 4.662
Tc Mo P
3 1 1
Direct
0.000 0.000 0.500
0.000 0.500 0.000
0.500 0.000 0.000
0.000 0.000 0.000
0.500 0.500 0.500